VASP calculation (PBE) on an optimized crystal structure of Nd2SmSn.

Structure (extended XYZ):
```
4
Lattice="1.766 1.020 12.098 -1.766 1.020 12.098 0.000 -2.039 12.098" Properties=species:S:1:pos:R:3 pbc="T T T"
Nd 0.000 0.000 3.409
Nd 0.000 0.000 32.886
Sm 0.000 0.000 0.000
Sn 0.000 0.000 18.148
```

## Properties
* E: -4.58 eV per atom
* size of the total moment: 0.4 μB/cell
* DOS(E_F): 6.78 states/eV per cell
* calculated formation energy: -0.0161 eV per atom

VASP calculation (PBE) on an optimized crystal structure of Nd3Sm2Sn4.

Structure (extended XYZ):
```
9
Lattice="5.775 -2.465 0.000 5.775 2.465 0.000 -1.435 0.000 10.131" Properties=species:S:1:pos:R:3 pbc="T T T"
Nd 0.000 0.000 0.000
Nd 3.495 0.000 5.884
Nd 6.619 0.000 4.247
Sm 3.486 0.000 1.863
Sm 6.628 0.000 8.268
Sn 0.147 0.000 6.371
Sn 2.797 0.000 8.928
Sn 7.317 0.000 1.203
Sn 9.967 0.000 3.760
```

## Properties
* E: -5.02 eV per atom
* size of the total moment: 0.0 μB/cell
* DOS(E_F): 7.08 states/eV per cell
* calculated formation energy: -0.6064 eV per atom

VASP calculation (PBE) on an optimized crystal structure of NdSm2Sn3.

Structure (extended XYZ):
```
6
Lattice="-2.256 3.176 6.714 2.256 -3.176 6.714 2.256 3.176 -6.714" Properties=species:S:1:pos:R:3 pbc="T T T"
Nd 0.000 0.000 0.000
Sm 0.000 0.000 4.490
Sm 0.000 0.000 8.939
Sn 2.256 0.000 2.269
Sn 0.000 3.176 0.000
Sn 0.000 3.176 4.445
```

## Properties
* E: -4.92 eV per atom
* size of the total moment: 0.0 μB/cell
* DOS(E_F): 5.03 states/eV per cell
* calculated formation energy: -0.5501 eV per atom